The following is a PBE-GGA calculation of a relaxed DyBiSb crystal, from Alexandria.

Structure (extended XYZ):
```
3
Lattice="-1.547 3.558 1.327 -4.457 -2.322 1.031 3.654 0.249 3.593" Properties=species:S:1:pos:R:3 pbc="T T T"
Sb -0.261 0.600 0.224
Bi -2.784 0.907 2.769
Dy 0.695 -0.021 2.958
```

## Properties
As for the polymorph energy (0 for the lowest one): 320 meV per atom. As for the formation energy from raw total energies: -25 kJ per mole of atoms. As for the density of states at the Fermi level: 0.97 states/eV per atom.